[1]
Density functional theory data (PBE-GGA) for a relaxed NaPt2 crystal. Values from VASP.

Cell and atoms, written as Quantum ESPRESSO input:
```
&SYSTEM
  ibrav = 0, nat = 3, ntyp = 2
/
ATOMIC_SPECIES
Na 22.99 Na.upf
Pt 195.08 Pt.upf
ATOMIC_POSITIONS crystal
Na 0.000 0.000 0.000
Pt 0.333 0.667 0.500
Pt 0.667 0.333 0.500
CELL_PARAMETERS angstrom
-3.776 -1.208 -1.666
0.531 0.109 4.266
-1.298 3.975 0.060
```

Values from the calculation:
Calculated total energy ... -4.330 eV/atom
DFT formation energy ... 0.137 eV/atom
Relative energy among the computed polymorphs ... 524 meV/atom
Volume ... 67.0 Å³/cell

***

[2]
Density functional theory data (PBE-GGA) for a relaxed AcAsPRh6 crystal. Values from VASP.

Cell and atoms, written as Quantum ESPRESSO input:
```
&SYSTEM
  ibrav = 0, nat = 18, ntyp = 4
/
ATOMIC_SPECIES
Rh 102.91 Rh.upf
P 30.97 P.upf
Ac 227.00 Ac.upf
As 74.92 As.upf
ATOMIC_POSITIONS crystal
Rh 0.389 0.643 0.250
Rh 0.611 0.357 0.750
Rh 0.574 0.324 0.149
Rh 0.861 0.107 0.250
Rh 0.389 0.107 0.250
Rh 0.611 0.893 0.750
Rh 0.112 0.862 0.225
Rh 0.139 0.357 0.750
Rh 0.139 0.893 0.750
Rh 0.888 0.138 0.775
Rh 0.861 0.643 0.250
Rh 0.426 0.676 0.851
P 0.500 0.000 0.000
P 0.500 0.500 0.000
Ac 0.840 0.590 0.681
Ac 0.160 0.410 0.319
As 0.500 0.000 0.500
As 0.000 0.000 0.500
CELL_PARAMETERS angstrom
7.322 0.000 0.000
0.000 8.397 0.000
-3.661 -4.198 5.603
```

Values from the calculation:
Calculated total energy ... -6.743 eV/atom
DFT formation energy ... -0.268 eV/atom
Volume ... 344.5 Å³/cell

***

[3]
Density functional theory data (PBE-GGA) for a relaxed Si3N4 crystal. Values from VASP.

Cell and atoms, written as Quantum ESPRESSO input:
```
&SYSTEM
  ibrav = 0, nat = 14, ntyp = 2
/
ATOMIC_SPECIES
Si 28.09 Si.upf
N 14.01 N.upf
ATOMIC_POSITIONS crystal
Si 0.875 0.625 0.250
Si 0.625 0.875 0.750
Si 0.250 0.375 0.125
Si 0.750 0.125 0.375
Si 0.125 0.750 0.875
Si 0.375 0.250 0.625
N 0.500 0.937 0.000
N 0.063 0.563 0.063
N 0.500 0.437 0.000
N 0.563 0.063 0.563
N 0.937 0.500 0.500
N 0.000 0.000 0.437
N 0.437 0.500 0.500
N 0.000 0.000 0.937
CELL_PARAMETERS angstrom
-1.888 3.211 4.205
-4.359 -2.185 -2.790
3.159 -4.151 2.086
```

Values from the calculation:
ΔE_f (raw) ... -7.000 eV per formula unit
Calculated total energy ... -8.081 eV/atom
Relative energy among the computed polymorphs ... 100 meV/atom
Volume ... 136.5 Å³/cell

***

[4]
Density functional theory data (PBE-GGA) for a relaxed Pm6ZnRh5 crystal. Values from VASP.

Cell and atoms, written as Quantum ESPRESSO input:
```
&SYSTEM
  ibrav = 0, nat = 12, ntyp = 3
/
ATOMIC_SPECIES
Rh 102.91 Rh.upf
Pm 145.00 Pm.upf
Zn 65.41 Zn.upf
ATOMIC_POSITIONS crystal
Rh 0.500 0.163 0.837
Rh 0.000 0.332 0.668
Rh 0.500 0.837 0.163
Rh 0.000 0.668 0.332
Rh 0.500 0.500 0.500
Pm 0.254 0.423 0.084
Pm 0.759 0.259 0.259
Pm 0.746 0.577 0.916
Pm 0.746 0.916 0.577
Pm 0.241 0.741 0.741
Pm 0.254 0.084 0.423
Zn 0.000 0.000 0.000
CELL_PARAMETERS angstrom
4.793 -0.004 -1.343
-3.592 7.020 -3.615
-0.170 -0.991 8.617
```

Values from the calculation:
Calculated total energy ... -6.174 eV/atom
DFT formation energy ... -0.629 eV/atom
Volume ... 266.2 Å³/cell

***

[5]
Density functional theory data (PBE-GGA) for a relaxed Cd2Rh crystal. Values from VASP.

Cell and atoms, written as Quantum ESPRESSO input:
```
&SYSTEM
  ibrav = 0, nat = 3, ntyp = 2
/
ATOMIC_SPECIES
Rh 102.91 Rh.upf
Cd 112.41 Cd.upf
ATOMIC_POSITIONS crystal
Rh 0.333 0.333 0.000
Cd 0.993 0.993 0.000
Cd 0.674 0.674 0.000
CELL_PARAMETERS angstrom
5.116 0.001 0.000
2.678 4.359 0.000
-3.623 -2.669 2.433
```

Values from the calculation:
Calculated total energy ... -3.138 eV/atom
DFT formation energy ... -0.078 eV/atom
Volume ... 54.3 Å³/cell

***

[6]
Density functional theory data (PBE-GGA) for a relaxed LiTi6O12 crystal. Values from VASP.

Cell and atoms, written as Quantum ESPRESSO input:
```
&SYSTEM
  ibrav = 0, nat = 38, ntyp = 3
/
ATOMIC_SPECIES
Ti 47.87 Ti.upf
O 16.00 O.upf
Li 6.94 Li.upf
ATOMIC_POSITIONS crystal
Ti 0.864 0.371 0.436
Ti 0.364 0.629 0.564
Ti 0.648 0.864 0.428
Ti 0.369 0.964 0.232
Ti 0.636 0.526 0.764
Ti 0.148 0.136 0.572
Ti 0.869 0.036 0.768
Ti 0.852 0.677 0.087
Ti 0.636 0.196 0.102
Ti 0.136 0.804 0.898
Ti 0.352 0.323 0.913
Ti 0.136 0.474 0.236
O 0.033 0.534 0.017
O 0.770 0.724 0.858
O 0.272 0.942 0.471
O 0.227 0.445 0.472
O 0.465 0.698 0.349
O 0.270 0.276 0.142
O 0.534 0.797 0.648
O 0.772 0.058 0.529
O 0.274 0.619 0.805
O 0.965 0.302 0.651
O 0.716 0.211 0.855
O 0.727 0.555 0.528
O 0.035 0.873 0.685
O 0.465 0.362 0.686
O 0.965 0.638 0.314
O 0.533 0.466 0.983
O 0.034 0.203 0.352
O 0.774 0.381 0.195
O 0.964 0.964 0.988
O 0.535 0.127 0.315
O 0.464 0.036 0.012
O 0.729 0.886 0.193
O 0.229 0.114 0.807
O 0.216 0.789 0.145
Li 0.541 0.046 0.771
Li 0.041 0.954 0.229
CELL_PARAMETERS angstrom
9.625 0.000 0.000
0.000 5.850 -0.009
0.000 1.298 7.680
```

Values from the calculation:
ΔE_f (raw) ... -55.480 eV per formula unit
Calculated total energy ... -8.645 eV/atom
Relative energy among the computed polymorphs ... 11 meV/atom
Volume ... 432.5 Å³/cell

***

[7]
Density functional theory data (PBE-GGA) for a relaxed AlRe3Pb crystal. Values from VASP.

Cell and atoms, written as Quantum ESPRESSO input:
```
&SYSTEM
  ibrav = 0, nat = 5, ntyp = 3
/
ATOMIC_SPECIES
Re 186.21 Re.upf
Pb 207.20 Pb.upf
Al 26.98 Al.upf
ATOMIC_POSITIONS crystal
Re 0.000 0.500 0.000
Re 0.500 0.000 0.000
Re 0.000 0.000 0.500
Pb 0.000 0.000 0.000
Al 0.500 0.500 0.500
CELL_PARAMETERS angstrom
-4.215 -2.524 0.527
1.553 -3.291 -3.342
2.058 -2.686 3.600
```

Values from the calculation:
Calculated total energy ... -5.789 eV/atom
DFT formation energy ... 3.170 eV/atom
Relative energy among the computed polymorphs ... 1387 meV/atom
Volume ... 120.6 Å³/cell

***

[8]
Density functional theory data (PBE-GGA) for a relaxed Tb2Dy2Ni15 crystal. Values from VASP.

Cell and atoms, written as Quantum ESPRESSO input:
```
&SYSTEM
  ibrav = 0, nat = 19, ntyp = 3
/
ATOMIC_SPECIES
Ni 58.69 Ni.upf
Dy 162.50 Dy.upf
Tb 158.93 Tb.upf
ATOMIC_POSITIONS crystal
Ni 0.349 0.830 0.349
Ni 0.349 0.349 0.830
Ni 0.000 0.000 0.500
Ni 0.500 0.000 0.000
Ni 0.000 0.314 0.686
Ni 0.000 0.500 0.000
Ni 0.651 0.651 0.170
Ni 0.686 0.000 0.314
Ni 0.686 0.314 0.000
Ni 0.170 0.651 0.651
Ni 0.314 0.686 0.000
Ni 0.314 0.000 0.686
Ni 0.651 0.170 0.651
Ni 0.830 0.349 0.349
Ni 0.000 0.686 0.314
Dy 0.362 0.362 0.362
Dy 0.638 0.638 0.638
Tb 0.889 0.889 0.889
Tb 0.111 0.111 0.111
CELL_PARAMETERS angstrom
-5.109 -2.570 3.038
-2.859 -2.613 -5.190
2.331 -6.005 0.669
```

Values from the calculation:
Calculated total energy ... -5.766 eV/atom
DFT formation energy ... -0.230 eV/atom
Volume ... 265.0 Å³/cell